Below is a relaxed Sc3Ge2Ir2 crystal, with properties calculated at the GGA-PBE level.

Cell lengths 5.424, 7.269, 12.910 Å; angles 90.00, 90.00, 90.00 degrees
Space group Pbcm (No. 57)
Inequivalent atoms, fractional coordinates:
Sc  0.119  0.229  0.250 x4
Sc  0.356  0.599  0.099 x8
Ge  0.200  0.250  0.000 x4
Ge  0.391  0.616  0.750 x4
Ir  0.126  0.560  0.594 x8

As for the total DFT energy (no corrections): -7.453 eV/atom. For the density of states at the Fermi level, the calculation gives 4.2 states/eV/f.u. The calculated formation energy is -888 meV per atom.